This record from the Alexandria database describes an optimized crystal structure of Ca8Zn2Ni. The functional is PBE.

a = 22.0589 Å, b = 4.3040 Å, c = 7.7737 Å
α = 90.00°, β = 91.37°, γ = 90.00°
Closest atoms and distances in Å follow each position.
Space group C2/m (No. 12)
One atom of each set of equivalent atoms:
Ca: 0.0059 0.0000 0.2291 [4 per cell]  2 Ni 2.79
Ca: 0.1027 0.5000 0.5169 [4 per cell]  2 Zn 3.07
Ca: 0.1257 0.5000 0.0148 [4 per cell]  1 Ni 2.77
Ca: 0.2326 0.0000 0.7023 [4 per cell]  3 Zn 3.13-3.44
Zn: 0.1643 0.0000 0.2998 [4 per cell]  7 Ca 3.07-3.44
Ni: 0.0000 0.5000 0.0000 [2 per cell]  6 Ca 2.77-2.79

Magnetic moment = 0.0 μB per formula unit
Calculated total energy = -2.291 eV/atom
Fermi-level density of states = 0.824 states/eV per atom
Formation energy = -0.078 eV per atom